{
  "formula": "Sm2YGe7",
  "functional": "PBE",
  "state": "optimized geometry",
  "e_tot_ev_per_atom": -5.370,
  "cell": [[11.328, 1.317, 6.464], [-11.987, 2.255, -4.803], [-1.671, -1.845, 3.304]],
  "species": ["Ge", "Sm", "Ge", "Ge", "Ge", "Ge", "Ge", "Y", "Ge", "Sm"],
  "frac_coords": [[0.219, 0.781, 0.500], [0.317, 0.683, 0.000], [0.781, 0.219, 0.500], [0.090, 0.910, 0.000], [0.910, 0.090, 0.000], [0.408, 0.592, 0.500], [0.592, 0.408, 0.500], [0.000, 0.000, 0.500], [0.500, 0.500, 0.000], [0.683, 0.317, 0.000]]
}